No. 1
The following is a DFT calculation (SCAN) of a crystal of Ni3Ir relaxed with PBEsol.

Summary:
The space group is Pmmm, No. 47. Its formation energy is 0.06 eV per atom.

CIF file:
```
data_Ni3Ir
_chemical_formula_sum 'Ni3 Ir1'
_cell_length_a 2.5731
_cell_length_b 3.5185
_cell_length_c 5.0187
_cell_angle_alpha 90.00
_cell_angle_beta 90.00
_cell_angle_gamma 90.00
_space_group_name_H-M_alt 'P 1'
_space_group_IT_number 1
_space_group_name_Hall 'P 1'
loop_
_atom_site_label
_atom_site_type_symbol
_atom_site_fract_x
_atom_site_fract_y
_atom_site_fract_z
Ni1 Ni 0.0000 0.0000 0.0000
Ni2 Ni 0.5000 0.5000 0.2457
Ni3 Ni 0.5000 0.5000 0.7543
Ir1 Ir 0.0000 0.0000 0.5000
```

=====

No. 2
The following is a DFT calculation (SCAN) of a crystal of Li2BiRh relaxed with PBEsol.

Summary:
The space group is I-42d, No. 122. Its formation energy is -0.13 eV per atom.

CIF file:
```
data_Li2BiRh
_chemical_formula_sum 'Li4 Bi2 Rh2'
_cell_length_a 9.9893
_cell_length_b 9.9893
_cell_length_c 9.9893
_cell_angle_alpha 157.51
_cell_angle_beta 157.51
_cell_angle_gamma 32.02
_space_group_name_H-M_alt 'P 1'
_space_group_IT_number 1
_space_group_name_Hall 'P 1'
loop_
_atom_site_label
_atom_site_type_symbol
_atom_site_fract_x
_atom_site_fract_y
_atom_site_fract_z
Li1 Li 0.0999 0.6250 0.9749
Li2 Li 0.3750 0.3499 0.4749
Li3 Li 0.6501 0.1250 0.0251
Li4 Li 0.8750 0.9001 0.5251
Bi1 Bi 0.2500 0.7500 0.5000
Bi2 Bi 0.5000 0.5000 0.0000
Rh1 Rh 0.0000 0.0000 0.0000
Rh2 Rh 0.7500 0.2500 0.5000
```

=====

No. 3
The following is a DFT calculation (SCAN) of a crystal of TaCu2Te relaxed with PBEsol.

Summary:
The space group is Pmmm, No. 47. The calculation puts the uncorrected formation energy at 0.350 eV per atom.

CIF file:
```
data_TaCu2Te
_chemical_formula_sum 'Ta1 Cu2 Te1'
_cell_length_a 3.8707
_cell_length_b 3.8845
_cell_length_c 4.1630
_cell_angle_alpha 90.00
_cell_angle_beta 90.00
_cell_angle_gamma 90.00
_space_group_name_H-M_alt 'P 1'
_space_group_IT_number 1
_space_group_name_Hall 'P 1'
loop_
_atom_site_label
_atom_site_type_symbol
_atom_site_fract_x
_atom_site_fract_y
_atom_site_fract_z
Ta1 Ta 0.0000 0.0000 0.0000
Cu1 Cu 0.5000 0.0000 0.5000
Cu2 Cu 0.5000 0.5000 0.0000
Te1 Te 0.0000 0.5000 0.5000
```

=====

No. 4
The following is a DFT calculation (SCAN) of a crystal of TaNi2W relaxed with PBEsol.

Summary:
The space group is I4/mmm, No. 139. Its formation energy is -0.05 eV per atom.

CIF file:
```
data_TaNi2W
_chemical_formula_sum 'Ta1 Ni2 W1'
_cell_length_a 4.5923
_cell_length_b 4.5923
_cell_length_c 4.5923
_cell_angle_alpha 131.30
_cell_angle_beta 131.30
_cell_angle_gamma 71.33
_space_group_name_H-M_alt 'P 1'
_space_group_IT_number 1
_space_group_name_Hall 'P 1'
loop_
_atom_site_label
_atom_site_type_symbol
_atom_site_fract_x
_atom_site_fract_y
_atom_site_fract_z
Ta1 Ta 0.0000 0.0000 0.0000
Ni1 Ni 0.2500 0.7500 0.5000
Ni2 Ni 0.7500 0.2500 0.5000
W1 W 0.5000 0.5000 0.0000
```

=====

No. 5
The following is a DFT calculation (SCAN) of a crystal of BaNbCrGe2 relaxed with PBEsol.

Summary:
The space group is P4/mmm, No. 123. Its formation energy is 0.83 eV per atom.

CIF file:
```
data_BaNbCrGe2
_chemical_formula_sum 'Ba1 Nb1 Cr1 Ge2'
_cell_length_a 4.7533
_cell_length_b 4.7533
_cell_length_c 5.2399
_cell_angle_alpha 90.00
_cell_angle_beta 90.00
_cell_angle_gamma 90.00
_space_group_name_H-M_alt 'P 1'
_space_group_IT_number 1
_space_group_name_Hall 'P 1'
loop_
_atom_site_label
_atom_site_type_symbol
_atom_site_fract_x
_atom_site_fract_y
_atom_site_fract_z
Ba1 Ba 0.0000 0.0000 0.0000
Nb1 Nb 0.5000 0.5000 0.0000
Cr1 Cr 0.0000 0.0000 0.5000
Ge1 Ge 0.0000 0.5000 0.5000
Ge2 Ge 0.5000 0.0000 0.5000
```

=====

No. 6
The following is a DFT calculation (SCAN) of a crystal of ScNiSn relaxed with PBEsol.

Summary:
The space group is P-62m, No. 189. Its formation energy is -0.71 eV per atom.

CIF file:
```
data_ScNiSn
_chemical_formula_sum 'Sc3 Ni3 Sn3'
_cell_length_a 7.1394
_cell_length_b 7.1394
_cell_length_c 3.4854
_cell_angle_alpha 90.00
_cell_angle_beta 90.00
_cell_angle_gamma 120.00
_space_group_name_H-M_alt 'P 1'
_space_group_IT_number 1
_space_group_name_Hall 'P 1'
loop_
_atom_site_label
_atom_site_type_symbol
_atom_site_fract_x
_atom_site_fract_y
_atom_site_fract_z
Sc1 Sc 0.0000 0.3963 0.0000
Sc2 Sc 0.3963 0.0000 0.0000
Sc3 Sc 0.6037 0.6037 0.0000
Ni1 Ni 0.0000 0.0000 0.0000
Ni2 Ni 0.3333 0.6667 0.5000
Ni3 Ni 0.6667 0.3333 0.5000
Sn1 Sn 0.0000 0.7296 0.5000
Sn2 Sn 0.2704 0.2704 0.5000
Sn3 Sn 0.7296 0.0000 0.5000
```

=====

No. 7
The following is a DFT calculation (SCAN) of a crystal of CaTe2ICl relaxed with PBEsol.

Summary:
The space group is P4/mmm, No. 123. The calculation puts the uncorrected formation energy at -0.124 eV per atom.

CIF file:
```
data_CaTe2ICl
_chemical_formula_sum 'Ca1 Te2 I1 Cl1'
_cell_length_a 5.8388
_cell_length_b 5.8388
_cell_length_c 5.7274
_cell_angle_alpha 90.00
_cell_angle_beta 90.00
_cell_angle_gamma 90.00
_space_group_name_H-M_alt 'P 1'
_space_group_IT_number 1
_space_group_name_Hall 'P 1'
loop_
_atom_site_label
_atom_site_type_symbol
_atom_site_fract_x
_atom_site_fract_y
_atom_site_fract_z
Ca1 Ca 0.0000 0.0000 0.0000
Te1 Te 0.0000 0.5000 0.0000
Te2 Te 0.5000 0.0000 0.0000
I1 I 0.0000 0.0000 0.5000
Cl1 Cl 0.5000 0.5000 0.5000
```

=====

No. 8
The following is a DFT calculation (SCAN) of a crystal of TiNb2BiIr relaxed with PBEsol.

Summary:
The space group is P4/mmm, No. 123. Its formation energy is 0.37 eV per atom.

CIF file:
```
data_TiNb2BiIr
_chemical_formula_sum 'Ti1 Nb2 Bi1 Ir1'
_cell_length_a 4.8846
_cell_length_b 4.8846
_cell_length_c 4.7016
_cell_angle_alpha 90.00
_cell_angle_beta 90.00
_cell_angle_gamma 90.00
_space_group_name_H-M_alt 'P 1'
_space_group_IT_number 1
_space_group_name_Hall 'P 1'
loop_
_atom_site_label
_atom_site_type_symbol
_atom_site_fract_x
_atom_site_fract_y
_atom_site_fract_z
Ti1 Ti 0.0000 0.0000 0.0000
Nb1 Nb 0.0000 0.5000 0.5000
Nb2 Nb 0.5000 0.0000 0.5000
Bi1 Bi 0.5000 0.5000 0.0000
Ir1 Ir 0.0000 0.0000 0.5000
```

=====

No. 9
The following is a DFT calculation (SCAN) of a crystal of TeAuNF2 relaxed with PBEsol.

Summary:
The space group is P4/mmm, No. 123. The calculation puts the uncorrected formation energy at 0.384 eV per atom.

CIF file:
```
data_TeAuNF2
_chemical_formula_sum 'Te1 Au1 N1 F2'
_cell_length_a 4.4791
_cell_length_b 4.4791
_cell_length_c 3.8260
_cell_angle_alpha 90.00
_cell_angle_beta 90.00
_cell_angle_gamma 90.00
_space_group_name_H-M_alt 'P 1'
_space_group_IT_number 1
_space_group_name_Hall 'P 1'
loop_
_atom_site_label
_atom_site_type_symbol
_atom_site_fract_x
_atom_site_fract_y
_atom_site_fract_z
Te1 Te 0.0000 0.0000 0.0000
Au1 Au 0.5000 0.5000 0.5000
N1 N 0.5000 0.5000 0.0000
F1 F 0.0000 0.5000 0.5000
F2 F 0.5000 0.0000 0.5000
```

=====

No. 10
The following is a DFT calculation (SCAN) of a crystal of Zr2InSb relaxed with PBEsol.

Summary:
Its excess energy over the best structure of this formula in the dataset is 0.000 eV/atom. The space group is P4mm, No. 99. The calculation puts the uncorrected formation energy at -0.435 eV per atom.

CIF file:
```
data_Zr2InSb
_chemical_formula_sum 'Zr2 In1 Sb1'
_cell_length_a 3.8625
_cell_length_b 3.8625
_cell_length_c 5.9936
_cell_angle_alpha 90.00
_cell_angle_beta 90.00
_cell_angle_gamma 90.00
_space_group_name_H-M_alt 'P 1'
_space_group_IT_number 1
_space_group_name_Hall 'P 1'
loop_
_atom_site_label
_atom_site_type_symbol
_atom_site_fract_x
_atom_site_fract_y
_atom_site_fract_z
Zr1 Zr 0.0000 0.0000 0.0000
Zr2 Zr 0.5000 0.5000 0.2607
In1 In 0.0000 0.0000 0.4849
Sb1 Sb 0.5000 0.5000 0.7740
```